Compound: TmSc4Tc2
Source: Alexandria
Functional: PBE
Structure: optimized geometry

N(E_F): 0.692 states/eV/atom

abc: 7.3603 5.8856 7.5394
angles: 90.00 111.77 90.00
With the nearest neighbours (Å) after each atom.
Space group P2_1/m (No. 11)
Symmetry-distinct sites (fractional):
Tm  0.0155  0.2500  0.1564 x2  4 Tc 2.88-3.10, 1 Sc 3.22
Sc  0.2383  0.0001  0.5833 x4  4 Tc 2.73-2.97, 2 Sc 2.94
Sc  0.3318  0.7500  0.2578 x2  2 Tc 2.63-2.67
Sc  0.3900  0.2500  0.0246 x2  2 Tc 2.61-2.66
Tc  0.0344  0.2500  0.7530 x2  6 Sc 2.66-2.97
Tc  0.4277  0.2500  0.3834 x2  6 Sc 2.61-2.82, 1 Tm 2.88

Compound: SrZn6Pt2
Source: Alexandria
Functional: PBE
Structure: optimized geometry

N(E_F): 0.182 states/eV/atom

abc: 4.3375 6.3782 11.9708
angles: 90.00 90.00 90.00
With the nearest neighbours (Å) after each atom.
Space group Immm (No. 71)
Symmetry-distinct sites (fractional):
Sr  0.0000  0.0000  0.0000 x2  4 Zn 2.96
Zn  0.0000  0.1842  0.5000 x4  3 Zn 2.35-2.43
Zn  0.0000  0.2311  0.2985 x8  3 Zn 2.43-2.47, 1 Pt 2.68
Pt  0.0000  0.5000  0.1268 x4  10 Zn 2.68-2.90

no.,formation energy from the elements (kcal/mol of atoms)
1,-3.54
2,-6.65